This record from Alexandria describes a geometry-optimized Nd3TiTl3Se8 structure. The functional is PBE.

abc: 8.3625 8.3625 23.4699
angles: 90.00 90.00 120.00
With the nearest neighbours (Å) after each atom.
Space group R-3m (No. 166, hexagonal axes)
One atom of each set of equivalent atoms:
1 Nd 0.0000 0.5000 0.0000  6 Se 2.94-2.98
2 Ti 0.0000 0.0000 0.0000  6 Se 2.65
3 Tl 0.0000 0.5000 0.5000  6 Se 3.29-3.31
4 Se 0.0000 0.0000 0.2619  3 Nd 2.94, 3 Tl 3.29
5 Se 0.0352 0.5176 0.7319  1 Ti 2.65

Results
Crystal system: trigonal
Total magnetization (μB per cell): 0.0



This record from Alexandria describes a geometry-optimized NdTlSe structure. The functional is PBE.

abc: 4.0773 4.0773 23.7702
angles: 90.00 90.00 90.00
With the nearest neighbours (Å) after each atom.
Space group I4/mmm (No. 139)
One atom of each set of equivalent atoms:
1 Nd 0.0000 0.0000 0.1725  5 Se 2.95-3.04
2 Tl 0.0000 0.0000 0.4283  1 Se 3.04
3 Se 0.0000 0.0000 0.3004  5 Nd 2.95-3.04, 1 Tl 3.04

Results
Crystal system: tetragonal
Total magnetization (μB per cell): 0.0



This record from Alexandria describes a geometry-optimized Nd12Tl5Se3 structure. The functional is PBE.

abc: 18.0158 18.0158 18.0158
angles: 90.00 90.00 90.00
With the nearest neighbours (Å) after each atom.
Space group Ia-3d (No. 230)
One atom of each set of equivalent atoms:
1 Nd 0.0134 0.0754 0.6522  2 Tl 3.00-3.07, 2 Se 3.19-3.34, 1 Nd 3.35
2 Tl 0.0000 0.0000 0.0000  6 Nd 3.07
3 Tl 0.0000 0.2500 0.3750  4 Nd 3.00
4 Se 0.0000 0.2500 0.1250  8 Nd 3.19-3.34

Results
Crystal system: cubic
Total magnetization (μB per cell): 19.9



| no. | formation energy without anion corrections (meV/atom) |
| --- | --- |
| 1 | -1281 |
| 2 | -1001 |
| 3 | -163 |